## Na2SrTlO4 (PBE)

Data for crystalline Na2SrTlO4 at its relaxed geometry.

a = 6.957 Å, b = 6.957 Å, c = 7.107 Å
α = 120.04°, β = 120.04°, γ = 89.88°
Each line ends with the local moment (μB).
Fractional coordinates of all 16 atoms:
Na 0.500 0.000 0.000  0.00
Na 0.500 0.000 0.500  0.00
Na 0.000 0.000 0.500  0.00
Na 0.500 0.500 0.000  0.00
Sr 0.000 0.500 0.000  0.00
Sr 0.000 0.500 0.500  0.00
Tl 0.500 0.500 0.500  0.03
Tl 0.000 0.000 0.000  0.03
O 0.224 0.774 0.997  0.22
O 0.726 0.276 0.503  0.22
O 0.274 0.724 0.497  0.22
O 0.776 0.226 0.003  0.22
O 0.770 0.776 0.008  0.20
O 0.724 0.730 0.492  0.20
O 0.276 0.270 0.508  0.20
O 0.230 0.224 0.992  0.20

Values from the calculation:
Formation energy (no corrections) in eV/atom: -1.38
Crystal system: monoclinic
Size of the total moment in μB per cell: 2.1

***

## NaSr2TlO (PBE)

Data for crystalline NaSr2TlO at its relaxed geometry.

a = 5.074 Å, b = 5.074 Å, c = 5.280 Å
α = 90.00°, β = 90.00°, γ = 90.00°
Fractional coordinates of all 5 atoms:
Sr 0.000 0.500 0.000
Sr 0.500 0.000 0.000
Tl 0.500 0.500 0.500
O 0.000 0.000 0.000
Na 0.000 0.000 0.500

Values from the calculation:
Formation energy (no corrections) in eV/atom: -1.12
Crystal system: tetragonal
Size of the total moment in μB per cell: 0.0

***

## NaSr4Tl3O8 (PBE)

Data for crystalline NaSr4Tl3O8 at its relaxed geometry.

a = 7.312 Å, b = 7.105 Å, c = 7.314 Å
α = 120.96°, β = 119.99°, γ = 90.00°
Fractional coordinates of all 16 atoms:
Na 0.000 0.500 0.000
Sr 0.500 0.000 0.000
Sr 0.500 0.000 0.500
Sr 0.000 0.000 0.000
Sr 0.000 0.000 0.500
Tl 0.500 0.500 0.000
Tl 0.500 0.500 0.500
Tl 0.000 0.500 0.500
O 0.252 0.748 0.997
O 0.252 0.748 0.504
O 0.251 0.251 0.501
O 0.745 0.748 0.997
O 0.255 0.252 0.003
O 0.749 0.749 0.499
O 0.748 0.252 0.496
O 0.748 0.252 0.003

Values from the calculation:
Formation energy (no corrections) in eV/atom: -1.71
Crystal system: trigonal
Size of the total moment in μB per cell: 0.0

***

## NaSrTl2O4 (PBE)

Data for crystalline NaSrTl2O4 at its relaxed geometry.

a = 5.050 Å, b = 5.050 Å, c = 6.014 Å
α = 114.82°, β = 114.82°, γ = 90.00°
Fractional coordinates of all 8 atoms:
Na 0.437 0.437 0.000
Sr 0.937 0.937 0.000
Tl 0.187 0.687 0.500
Tl 0.687 0.187 0.500
O 0.937 0.437 0.000
O 0.437 0.937 0.000
O 0.194 0.194 0.513
O 0.681 0.681 0.487

Values from the calculation:
Formation energy (no corrections) in eV/atom: -1.32
Crystal system: tetragonal
Size of the total moment in μB per cell: 0.0

***

## NaSr2TlO4 (PBE)

Data for crystalline NaSr2TlO4 at its relaxed geometry.

a = 3.674 Å, b = 6.120 Å, c = 5.909 Å
α = 107.39°, β = 90.00°, γ = 90.00°
Fractional coordinates of all 8 atoms:
Na 0.500 0.500 0.000
Sr 0.500 0.000 0.500
Sr 0.000 0.500 0.500
Tl 0.000 0.000 0.000
O 0.500 0.255 0.248
O 0.500 0.745 0.752
O 0.000 0.224 0.762
O 0.000 0.776 0.238

Values from the calculation:
Formation energy (no corrections) in eV/atom: -1.86
Crystal system: monoclinic
Size of the total moment in μB per cell: 0.0

***

## Na3Sr2UO6 (PBE)

Data for crystalline Na3Sr2UO6 at its relaxed geometry.

a = 6.245 Å, b = 6.245 Å, c = 5.985 Å
α = 99.83°, β = 99.83°, γ = 120.36°
Each line ends with the local moment (μB).
Fractional coordinates of all 12 atoms:
Na 0.152 0.848 0.500  0.00
Na 0.848 0.152 0.500  0.00
Na 0.500 0.500 0.500  0.00
Sr 0.332 0.668 0.000  0.00
Sr 0.668 0.332 0.000  0.00
U 0.000 0.000 0.000  1.06
O 0.928 0.638 0.781  -0.02
O 0.776 0.776 0.211  -0.02
O 0.072 0.362 0.219  -0.02
O 0.638 0.928 0.781  -0.02
O 0.224 0.224 0.789  -0.02
O 0.362 0.072 0.219  -0.02

Values from the calculation:
Formation energy (no corrections) in eV/atom: -2.53
Crystal system: monoclinic
Size of the total moment in μB per cell: 1.0

***

## NaSrUO4 (PBE)

Data for crystalline NaSrUO4 at its relaxed geometry.

a = 4.373 Å, b = 4.373 Å, c = 6.980 Å
α = 108.25°, β = 108.25°, γ = 90.00°
Each line ends with the local moment (μB).
Fractional coordinates of all 7 atoms:
Na 0.656 0.656 0.312  0.00
Sr 0.355 0.355 0.710  0.01
U 0.003 0.003 0.006  1.04
O 0.991 0.491 0.982  -0.03
O 0.491 0.991 0.982  -0.03
O 0.838 0.838 0.675  -0.03
O 0.166 0.166 0.332  -0.03

Values from the calculation:
Formation energy (no corrections) in eV/atom: -2.81
Crystal system: tetragonal
Size of the total moment in μB per cell: 1.0

***

## NaSr2UO6 (PBE)

Data for crystalline NaSr2UO6 at its relaxed geometry.

a = 6.054 Å, b = 5.857 Å, c = 6.103 Å
α = 118.67°, β = 119.73°, γ = 90.00°
Fractional coordinates of all 10 atoms:
Na 0.500 0.000 0.000
Sr 0.230 0.254 0.507
Sr 0.770 0.746 0.493
U 0.000 0.500 0.000
O 0.332 0.720 0.440
O 0.160 0.194 0.862
O 0.840 0.332 0.138
O 0.160 0.668 0.862
O 0.840 0.806 0.138
O 0.668 0.280 0.560

Values from the calculation:
Formation energy (no corrections) in eV/atom: -2.69
Crystal system: monoclinic
Size of the total moment in μB per cell: 0.3